Pr2BiRuO8 after structural relaxation, computed with PBE.

Properties
The calculation puts the total energy at -7.0323 eV/atom. The calculation puts the calculated volume at 15.5 A^3/atom. As for the formation energy from raw total energies: -1.834 eV per atom.

Structure (CIF):
```
data_Pr2BiRuO8
_chemical_formula_sum 'Pr2 Bi1 Ru1 O8'
_cell_length_a 5.198
_cell_length_b 5.201
_cell_length_c 6.885
_cell_angle_alpha 90.01
_cell_angle_beta 90.02
_cell_angle_gamma 91.20
_space_group_name_H-M_alt 'P -1'
_space_group_IT_number 2
loop_
_space_group_symop_operation_xyz
'x,y,z'
'-x,-y,-z'
loop_
_atom_site_label
_atom_site_fract_x
_atom_site_fract_y
_atom_site_fract_z
Pr1 0.010 0.010 0.256
Bi1 0.500 0.500 0.000
Ru1 0.500 0.500 0.500
O1 0.202 0.200 0.993
O2 0.242 0.241 0.508
O3 0.319 0.670 0.279
O4 0.329 0.679 0.721
```


NaPd4Pb5 after structural relaxation, computed with PBE.

Properties
As for the formation energy: -0.197 eV/atom. The calculation puts the total energy at -4.2600 eV/atom. The calculation puts the calculated volume at 23.6 A^3/atom.

Structure (CIF):
```
data_NaPd4Pb5
_chemical_formula_sum 'Na2 Pd8 Pb10'
_cell_length_a 14.291
_cell_length_b 4.807
_cell_length_c 6.892
_cell_angle_alpha 90.00
_cell_angle_beta 94.32
_cell_angle_gamma 90.00
_space_group_name_H-M_alt 'C 1 2/m 1'
_space_group_IT_number 12
loop_
_space_group_symop_operation_xyz
'x,y,z'
'-x,-y,-z'
'-x,y,-z'
'x,-y,z'
'x+1/2,y+1/2,z'
'-x+1/2,-y+1/2,-z'
'-x+1/2,y+1/2,-z'
'x+1/2,-y+1/2,z'
loop_
_atom_site_label
_atom_site_fract_x
_atom_site_fract_y
_atom_site_fract_z
Na1 0.000 0.000 0.000
Pd1 0.001 0.500 0.738
Pd2 0.164 0.000 0.759
Pb1 0.000 0.000 0.500
Pb2 0.160 0.500 0.015
Pb3 0.173 0.500 0.507
```


KCr3Mo after structural relaxation, computed with PBE.

Properties
As for the formation energy: 2.828 eV/atom. The calculation puts the total energy at -5.3314 eV/atom. The calculation puts the calculated volume at 14.8 A^3/atom.

Structure (CIF):
```
data_KCr3Mo
_chemical_formula_sum 'K1 Cr3 Mo1'
_cell_length_a 4.196
_cell_length_b 4.196
_cell_length_c 4.196
_cell_angle_alpha 90.00
_cell_angle_beta 90.00
_cell_angle_gamma 90.00
_space_group_name_H-M_alt 'P m -3 m'
_space_group_IT_number 221
_space_group_name_Hall '-P 4 2 3'
loop_
_atom_site_label
_atom_site_fract_x
_atom_site_fract_y
_atom_site_fract_z
K1 0.000 0.000 0.000
Cr1 0.000 0.000 0.500
Mo1 0.500 0.500 0.500
```


PrErCu after structural relaxation, computed with PBE.

Properties
As for the formation energy: -0.108 eV/atom. The calculation puts the total energy at -4.5879 eV/atom. The calculation puts the calculated volume at 26.1 A^3/atom.

Structure (CIF):
```
data_PrErCu
_chemical_formula_sum 'Pr2 Er2 Cu2'
_cell_length_a 3.533
_cell_length_b 3.533
_cell_length_c 12.541
_cell_angle_alpha 90.00
_cell_angle_beta 90.00
_cell_angle_gamma 90.00
_space_group_name_H-M_alt 'I 4 m m'
_space_group_IT_number 107
_space_group_name_Hall 'I 4 -2'
loop_
_atom_site_label
_atom_site_fract_x
_atom_site_fract_y
_atom_site_fract_z
Pr1 0.000 0.000 0.000
Er1 0.000 0.000 0.278
Cu1 0.000 0.000 0.660
```


CaPdN3 after structural relaxation, computed with PBE.

Properties
The calculation puts the total energy at -5.3299 eV/atom. The calculation puts the calculated volume at 12.6 A^3/atom. As for the formation energy from raw total energies: 1.104 eV per atom.

Structure (CIF):
```
data_CaPdN3
_chemical_formula_sum 'Ca1 Pd1 N3'
_cell_length_a 3.983
_cell_length_b 3.983
_cell_length_c 3.983
_cell_angle_alpha 90.00
_cell_angle_beta 90.00
_cell_angle_gamma 90.00
_space_group_name_H-M_alt 'P m -3 m'
_space_group_IT_number 221
_space_group_name_Hall '-P 4 2 3'
loop_
_atom_site_label
_atom_site_fract_x
_atom_site_fract_y
_atom_site_fract_z
Ca1 0.000 0.000 0.000
Pd1 0.500 0.500 0.500
N1 0.000 0.500 0.500
```


CrSbMo2 after structural relaxation, computed with PBE.

Properties
The calculation puts the total energy at -8.4773 eV/atom. The calculation puts the calculated volume at 16.3 A^3/atom. As for the formation energy from raw total energies: 0.375 eV per atom.

Structure (CIF):
```
data_CrSbMo2
_chemical_formula_sum 'Cr2 Sb2 Mo4'
_cell_length_a 5.940
_cell_length_b 6.585
_cell_length_c 3.328
_cell_angle_alpha 90.00
_cell_angle_beta 90.00
_cell_angle_gamma 90.00
_space_group_name_H-M_alt 'C m m m'
_space_group_IT_number 65
_space_group_name_Hall '-C 2 2'
loop_
_atom_site_label
_atom_site_fract_x
_atom_site_fract_y
_atom_site_fract_z
Cr1 0.000 0.000 0.000
Sb1 0.000 0.500 0.000
Mo1 0.250 0.250 0.500
```